12
Lattice="-0.598 3.713 0.105 -2.813 -0.608 5.455 6.161 0.899 3.277" Properties=species:S:1:pos:R:3 comment="MnNiAs GGA-PBE optimized geometry" space_group="Pnma, No. 62" formation_energy_ev_per_fu=-0.75 dft_energy_ev_per_cell=-81.40 pbc="T T T"
As 1.320 2.897 6.184
As 1.430 1.108 2.654
Mn -1.191 2.485 6.435
Ni 1.972 3.067 3.864
Mn 3.940 1.520 2.402
Mn 3.433 1.347 5.608
Ni 0.778 0.937 4.974
As -1.501 0.582 4.570
Ni -0.195 0.894 0.981
Mn -0.683 2.658 3.229
As 4.251 3.423 4.267
Ni 2.945 3.111 7.856

---

5
Lattice="-1.936 -0.472 4.027 -2.114 -3.690 -1.449 3.459 -2.519 1.368" Properties=species:S:1:pos:R:3 comment="Mn3NiAs GGA-PBE optimized geometry" space_group="Pm-3m, No. 221" formation_energy_ev_per_fu=3.33 dft_energy_ev_per_cell=-34.61 pbc="T T T"
Mn -1.057 -1.845 -0.724
Ni 0.000 0.000 0.000
Mn -0.968 -0.236 2.013
As -0.295 -3.340 1.973
Mn 1.730 -1.260 0.684

---

4
Lattice="-0.969 -4.525 2.178 1.141 -4.307 -2.512 2.261 4.422 1.223" Properties=species:S:1:pos:R:3 comment="MnNiAs2 GGA-PBE optimized geometry" space_group="I-4m2, No. 119" formation_energy_ev_per_fu=0.19 dft_energy_ev_per_cell=-24.06 pbc="T T T"
Ni 0.689 -2.260 1.617
As 1.744 -2.150 -0.728
As 0.000 0.000 0.000
Mn 0.086 -4.416 -0.167

---

6
Lattice="4.340 -1.790 0.622 0.658 -3.643 2.953 1.065 -4.281 -1.722" Properties=species:S:1:pos:R:3 comment="MnNi4As GGA-PBE optimized geometry" space_group="F-43m, No. 216" formation_energy_ev_per_fu=0.43 dft_energy_ev_per_cell=-36.52 pbc="T T T"
Ni 3.461 -4.248 -0.322
Ni 3.257 -3.928 2.022
As 1.516 -2.429 0.463
Ni 1.615 -5.177 0.847
Ni 3.791 -6.075 1.159
Mn 0.000 0.000 0.000

---

20
Lattice="-2.737 -2.557 -0.639 1.472 -2.891 5.258 -5.807 7.590 5.799" Properties=species:S:1:pos:R:3 comment="Mn2Ni5As3 GGA-PBE optimized geometry" space_group="Cmc2_1, No. 36" formation_energy_ev_per_fu=-2.13 dft_energy_ev_per_cell=-126.64 pbc="T T T"
Ni -7.458 3.803 5.430
As -5.447 4.692 4.557
As -7.142 2.930 7.569
Ni -5.682 1.229 8.121
As -0.533 0.396 0.695
Mn -1.658 0.386 5.551
As -4.712 0.714 6.027
Ni -1.224 0.587 2.890
Ni 0.157 -1.212 4.171
Ni -3.740 0.289 3.566
As -2.818 2.328 2.754
As -2.177 -1.464 3.886
Ni -3.110 1.419 7.641
Ni -1.521 -2.667 5.887
Ni -3.309 -1.003 6.886
Mn -1.154 -2.003 1.662
Mn -5.645 2.210 4.041
Ni -3.331 2.296 5.077
Ni -4.949 3.628 6.679
Mn -5.664 3.647 9.662

---

10
Lattice="-1.400 -1.327 6.266 0.268 -6.420 -1.299 3.194 -0.011 0.711" Properties=species:S:1:pos:R:3 comment="Mn2NiAs2 GGA-PBE optimized geometry" space_group="P4/mbm, No. 127" formation_energy_ev_per_fu=-0.10 dft_energy_ev_per_cell=-67.04 pbc="T T T"
Mn 0.492 -3.443 5.267
Mn 1.134 -1.391 2.415
As -0.879 -1.888 3.918
Mn 1.570 -4.315 0.411
Mn 0.928 -6.366 3.263
Ni 0.000 0.000 0.000
As -0.130 -2.405 0.546
As -0.253 -5.859 1.049
As -1.002 -5.342 4.421
Ni -0.566 -3.873 2.483